Record 1
## La2Pr7Sm3 (PBE)

Data for La2Pr7Sm3 after structural relaxation.

```
data_La2Pr7Sm3
_chemical_formula_sum 'La2 Pr7 Sm3'
_cell_length_a 3.6339
_cell_length_b 6.5979
_cell_length_c 18.6005
_cell_angle_alpha 75.36
_cell_angle_beta 90.00
_cell_angle_gamma 90.00
_space_group_name_H-M_alt 'P 1'
_space_group_IT_number 1
_space_group_name_Hall 'P 1'
loop_
_atom_site_label
_atom_site_type_symbol
_atom_site_fract_x
_atom_site_fract_y
_atom_site_fract_z
_atom_site_occupancy
Pr1 Pr 0.0000 0.5583 0.1649 1
Pr2 Pr 0.5000 0.2396 0.5031 1
Pr3 Pr 0.5000 0.9403 0.8320 1
Sm1 Sm 0.5000 0.5000 0.0000 1
Sm2 Sm 0.0000 0.1140 0.3400 1
Sm3 Sm 0.0000 0.8860 0.6600 1
Pr4 Pr 0.5000 0.7604 0.4969 1
La1 La 0.5000 0.6105 0.3309 1
Pr5 Pr 0.0000 0.0000 0.0000 1
La2 La 0.5000 0.3895 0.6691 1
Pr6 Pr 0.5000 0.0597 0.1680 1
Pr7 Pr 0.0000 0.4417 0.8351 1
```

Record 2
## La12Pr5Sm2 (PBE)

Data for La12Pr5Sm2 after structural relaxation.

```
data_La12Pr5Sm2
_chemical_formula_sum 'La12 Pr5 Sm2'
_cell_length_a 6.5058
_cell_length_b 9.7818
_cell_length_c 12.7373
_cell_angle_alpha 72.31
_cell_angle_beta 66.78
_cell_angle_gamma 94.09
_space_group_name_H-M_alt 'P 1'
_space_group_IT_number 1
_space_group_name_Hall 'P 1'
loop_
_atom_site_label
_atom_site_type_symbol
_atom_site_fract_x
_atom_site_fract_y
_atom_site_fract_z
_atom_site_occupancy
Pr1 Pr 0.5000 0.0000 0.0000 1
La1 La 0.2112 0.5898 0.0318 1
Pr2 Pr 0.7467 0.3120 0.3093 1
La2 La 0.6602 0.1710 0.6360 1
La3 La 0.7842 0.9404 0.4570 1
La4 La 0.6557 0.6663 0.1085 1
La5 La 0.2158 0.0596 0.5430 1
La6 La 0.3398 0.8290 0.3640 1
La7 La 0.3443 0.3337 0.8915 1
La8 La 0.1145 0.9485 0.8613 1
Pr3 Pr 0.2533 0.6880 0.6907 1
Pr4 Pr 0.7056 0.7872 0.7792 1
La9 La 0.7721 0.5522 0.5988 1
Sm1 Sm 0.9084 0.6913 0.2903 1
La10 La 0.8855 0.0515 0.1387 1
La11 La 0.2279 0.4478 0.4012 1
Pr5 Pr 0.2944 0.2128 0.2208 1
La12 La 0.7888 0.4102 0.9682 1
Sm2 Sm 0.0916 0.3087 0.7097 1
```

Record 3
## La3Pr2Sm (PBE)

Data for La3Pr2Sm after structural relaxation.

```
data_La3Pr2Sm
_chemical_formula_sum 'La6 Pr4 Sm2'
_cell_length_a 3.5018
_cell_length_b 6.9624
_cell_length_c 17.9936
_cell_angle_alpha 90.00
_cell_angle_beta 90.00
_cell_angle_gamma 90.00
_space_group_name_H-M_alt 'P 1'
_space_group_IT_number 1
_space_group_name_Hall 'P 1'
loop_
_atom_site_label
_atom_site_type_symbol
_atom_site_fract_x
_atom_site_fract_y
_atom_site_fract_z
_atom_site_occupancy
Pr1 Pr 0.0000 0.7312 0.6555 1
Sm1 Sm 0.5000 0.5000 0.0000 1
Pr2 Pr 0.0000 0.2688 0.3445 1
La1 La 0.0000 0.7611 0.3238 1
Pr3 Pr 0.5000 0.2312 0.8445 1
La2 La 0.5000 0.5000 0.5000 1
Pr4 Pr 0.5000 0.7688 0.1555 1
La3 La 0.0000 0.0000 0.0000 1
La4 La 0.5000 0.7389 0.8238 1
Sm2 Sm 0.0000 0.0000 0.5000 1
La5 La 0.0000 0.2389 0.6762 1
La6 La 0.5000 0.2611 0.1762 1
```

Record 4
## La2PrSm12 (PBE)

Data for La2PrSm12 after structural relaxation.

```
data_La2PrSm12
_chemical_formula_sum 'La4 Pr2 Sm24'
_cell_length_a 6.8282
_cell_length_b 6.8282
_cell_length_c 25.2032
_cell_angle_alpha 90.00
_cell_angle_beta 90.00
_cell_angle_gamma 63.74
_space_group_name_H-M_alt 'P 1'
_space_group_IT_number 1
_space_group_name_Hall 'P 1'
loop_
_atom_site_label
_atom_site_type_symbol
_atom_site_fract_x
_atom_site_fract_y
_atom_site_fract_z
_atom_site_occupancy
Sm1 Sm 0.7737 0.2737 0.5593 1
Sm2 Sm 0.7514 0.7486 0.8714 1
Sm3 Sm 0.7263 0.2263 0.4407 1
Sm4 Sm 0.0000 0.0000 0.2002 1
Sm5 Sm 0.7514 0.2514 0.0776 1
La1 La 0.5000 0.0000 0.7320 1
Sm6 Sm 0.2737 0.7737 0.4407 1
Sm7 Sm 0.5000 0.5000 0.7998 1
Sm8 Sm 0.7698 0.7302 0.4191 1
Sm9 Sm 0.2486 0.7486 0.0776 1
Sm10 Sm 0.7486 0.2486 0.9224 1
Sm11 Sm 0.2698 0.2302 0.5809 1
Sm12 Sm 0.0000 0.0000 0.3284 1
La2 La 0.5000 0.0000 0.2751 1
La3 La 0.0000 0.5000 0.2680 1
Pr1 Pr 0.0000 0.5000 0.9995 1
Sm13 Sm 0.7486 0.7514 0.1286 1
La4 La 0.0000 0.5000 0.7249 1
Sm14 Sm 0.5000 0.5000 0.2002 1
Sm15 Sm 0.2486 0.2514 0.8714 1
Pr2 Pr 0.5000 0.0000 0.0005 1
Sm16 Sm 0.2263 0.7263 0.5593 1
Sm17 Sm 0.2514 0.7514 0.9224 1
Sm18 Sm 0.2302 0.2698 0.4191 1
Sm19 Sm 0.2514 0.2486 0.1286 1
Sm20 Sm 0.7302 0.7698 0.5809 1
Sm21 Sm 0.0000 0.0000 0.6716 1
Sm22 Sm 0.0000 0.0000 0.7998 1
Sm23 Sm 0.5000 0.5000 0.6716 1
Sm24 Sm 0.5000 0.5000 0.3284 1
```

no.,VASP energy (eV/atom),formation energy (eV/f.u.)
1,-4.725,0.8
2,-4.793,1.4
3,-4.626,1.3
4,-4.604,2.2